Material: RbTm2Co
Method: DFT, PBE
State: optimized geometry

- Crystal system: trigonal
- Calculated formation energy: 103 meV/atom
- Size of the total moment: 0.000 μB per atom

Cell and atoms, written as CIF:
```
data_RbTm2Co
_chemical_formula_sum 'Rb3 Tm6 Co3'
_cell_length_a 3.9242
_cell_length_b 3.9242
_cell_length_c 32.4246
_cell_angle_alpha 90.00
_cell_angle_beta 90.00
_cell_angle_gamma 120.00
_symmetry_space_group_name_H-M 'R -3 m'
_symmetry_Int_Tables_number 166
_symmetry_space_group_name_Hall '-R 3 2"'
loop_
_atom_site_label
_atom_site_type_symbol
_atom_site_fract_x
_atom_site_fract_y
_atom_site_fract_z
Rb1 Rb 0.0000 0.0000 0.0000
Tm1 Tm 0.0000 0.0000 0.1252
Co1 Co 0.0000 0.0000 0.5000
```